The following is a GGA-PBE calculation of crystalline TaTiSb at its relaxed geometry, from the Alexandria database.

Structure (POSCAR):
```
TaTiSb
1.0
-1.770 1.770 4.476
1.770 -1.770 4.476
1.770 1.770 -4.476
Ta Ti Sb
1 1 1
Direct
0.000 0.000 0.000
0.660 0.660 0.000
0.330 0.330 0.000
```

Calculated values
calculated total energy	-0.3003	Ha/atom
DOS(E_F)	0.53	states/eV/atom
ρ	10.4	g/cm³
V	56.1	Å³ per cell
SG	No. 107



The following is a GGA-PBE calculation of crystalline TaTi5Sb2 at its relaxed geometry, from the Alexandria database.

Structure (POSCAR):
```
TaTi5Sb2
1.0
2.341 -6.187 0.000
2.341 6.187 0.000
0.000 0.000 11.748
Ta Ti Sb
2 10 4
Direct
0.172 0.828 0.750
0.828 0.172 0.250
0.190 0.810 0.512
0.190 0.810 0.988
0.198 0.802 0.250
0.381 0.619 0.635
0.381 0.619 0.865
0.619 0.381 0.135
0.619 0.381 0.365
0.802 0.198 0.750
0.810 0.190 0.012
0.810 0.190 0.488
0.395 0.605 0.111
0.395 0.605 0.389
0.605 0.395 0.611
0.605 0.395 0.889
```

Calculated values
calculated total energy	-0.2697	Ha/atom
DOS(E_F)	0.85	states/eV/atom
ρ	6.5	g/cm³
V	340.3	Å³ per cell
SG	No. 63



The following is a GGA-PBE calculation of crystalline Ta2TiSb2 at its relaxed geometry, from the Alexandria database.

Structure (POSCAR):
```
Ta2TiSb2
1.0
7.427 0.000 0.000
0.000 7.427 0.000
0.000 0.000 3.650
Ta Ti Sb
4 2 4
Direct
0.142 0.358 0.000
0.358 0.858 0.000
0.642 0.142 0.000
0.858 0.642 0.000
0.000 0.000 0.500
0.500 0.500 0.500
0.154 0.654 0.500
0.346 0.154 0.500
0.654 0.846 0.500
0.846 0.346 0.500
```

Calculated values
calculated total energy	-0.2888	Ha/atom
DOS(E_F)	0.82	states/eV/atom
ρ	10.8	g/cm³
V	201.3	Å³ per cell
SG	No. 127